Sm3ZnSCl | GGA-PBE | relaxed

a b c (Å): 3.961 7.713 11.134
angles (deg): 113.25 90.00 90.00
Site moments in Bohr magnetons follow the coordinates.
Element x y z (fractional)
Sm: 0.750 0.967 0.140  0.03
Sm: 0.250 0.033 0.860  0.03
Sm: 0.250 0.714 0.509  0.10
Sm: 0.750 0.286 0.491  0.10
Sm: 0.750 0.480 0.161  0.00
Sm: 0.250 0.520 0.839  0.00
Zn: 0.250 0.298 0.286  0.00
Zn: 0.750 0.702 0.714  0.00
S: 0.250 0.701 0.108  0.00
S: 0.750 0.299 0.892  0.00
Cl: 0.250 0.146 0.621  0.00
Cl: 0.750 0.854 0.379  0.00

- total magnetic moment (μB per formula unit) = 0.284
- E (eV per atom) = -4.7460
- ΔE_f (raw) (eV per atom) = -1.178